1.
# NpB12

Crystalline NpB12 at its relaxed geometry (PBE, Alexandria).

Computed properties:
The value obtained for the energy of formation is -291 kJ/mol of formula units. The space-group type is Fm-3m, No. 225. The value obtained for the total energy is -7.391 eV per atom. The crystal system is cubic.

The structure in CIF format:
```
data_NpB12
_chemical_formula_sum 'Np1 B12'
_cell_length_a 5.269
_cell_length_b 5.269
_cell_length_c 5.269
_cell_angle_alpha 60.00
_cell_angle_beta 60.00
_cell_angle_gamma 60.00
_symmetry_space_group_name_H-M 'P 1'
_symmetry_Int_Tables_number 1
loop_
_symmetry_equiv_pos_as_xyz
'x,y,z'
loop_
_atom_site_label
_atom_site_fract_x
_atom_site_fract_y
_atom_site_fract_z
Np1 0.000 0.000 0.000
B1 0.161 0.500 0.500
B2 0.161 0.500 0.839
B3 0.161 0.839 0.500
B4 0.500 0.161 0.500
B5 0.500 0.161 0.839
B6 0.500 0.500 0.161
B7 0.500 0.500 0.839
B8 0.500 0.839 0.161
B9 0.500 0.839 0.500
B10 0.839 0.161 0.500
B11 0.839 0.500 0.161
B12 0.839 0.500 0.500
```

2.
# Ce2Ag3HS6

Crystalline Ce2Ag3HS6 at its relaxed geometry (PBE, Alexandria).

Computed properties:
The space-group type is C2/m, No. 12. The value obtained for the total energy is -4.851 eV per atom. The crystal system is monoclinic.

The structure in CIF format:
```
data_Ce2Ag3HS6
_chemical_formula_sum 'Ce2 Ag3 H1 S6'
_cell_length_a 8.056
_cell_length_b 8.056
_cell_length_c 9.777
_cell_angle_alpha 117.46
_cell_angle_beta 117.46
_cell_angle_gamma 30.32
_symmetry_space_group_name_H-M 'P 1'
_symmetry_Int_Tables_number 1
loop_
_symmetry_equiv_pos_as_xyz
'x,y,z'
loop_
_atom_site_label
_atom_site_fract_x
_atom_site_fract_y
_atom_site_fract_z
Ce1 0.122 0.122 0.342
Ce2 0.878 0.878 0.658
Ag1 0.236 0.236 0.862
Ag2 0.500 0.500 0.500
Ag3 0.764 0.764 0.138
H1 0.500 0.500 0.000
S1 0.061 0.061 0.741
S2 0.323 0.323 0.451
S3 0.390 0.390 0.856
S4 0.610 0.610 0.144
S5 0.677 0.677 0.549
S6 0.939 0.939 0.259
```

3.
# Th6As3P2Pb

Crystalline Th6As3P2Pb at its relaxed geometry (PBE, Alexandria).

Computed properties:
The value obtained for the energy of formation is -1403 kJ/mol of formula units. The space-group type is C2/m, No. 12. The value obtained for the total energy is -7.294 eV per atom. The crystal system is monoclinic.

The structure in CIF format:
```
data_Th6As3P2Pb
_chemical_formula_sum 'Th6 As3 P2 Pb1'
_cell_length_a 9.538
_cell_length_b 9.538
_cell_length_c 8.579
_cell_angle_alpha 102.78
_cell_angle_beta 102.78
_cell_angle_gamma 25.84
_symmetry_space_group_name_H-M 'P 1'
_symmetry_Int_Tables_number 1
loop_
_symmetry_equiv_pos_as_xyz
'x,y,z'
loop_
_atom_site_label
_atom_site_fract_x
_atom_site_fract_y
_atom_site_fract_z
Th1 0.006 0.006 0.269
Th2 0.326 0.326 0.901
Th3 0.331 0.331 0.422
Th4 0.669 0.669 0.578
Th5 0.674 0.674 0.099
Th6 0.994 0.994 0.731
As1 0.162 0.162 0.834
As2 0.500 0.500 0.500
As3 0.838 0.838 0.166
P1 0.169 0.169 0.337
P2 0.831 0.831 0.663
Pb1 0.500 0.500 0.000
```

4.
# Sm3Ho3Er2

Crystalline Sm3Ho3Er2 at its relaxed geometry (PBE, Alexandria).

Computed properties:
Its offset from the most stable computed form is 0 meV/atom. The value obtained for the energy of formation is 98 kJ/mol of formula units. The space-group type is Immm, No. 71. The value obtained for the total energy is -4.500 eV per atom. The crystal system is orthorhombic.

The structure in CIF format:
```
data_Sm3Ho3Er2
_chemical_formula_sum 'Sm3 Ho3 Er2'
_cell_length_a 8.454
_cell_length_b 8.454
_cell_length_c 8.454
_cell_angle_alpha 139.07
_cell_angle_beta 139.07
_cell_angle_gamma 59.27
_symmetry_space_group_name_H-M 'P 1'
_symmetry_Int_Tables_number 1
loop_
_symmetry_equiv_pos_as_xyz
'x,y,z'
loop_
_atom_site_label
_atom_site_fract_x
_atom_site_fract_y
_atom_site_fract_z
Sm1 0.000 0.000 0.000
Sm2 0.127 0.627 0.500
Sm3 0.873 0.373 0.500
Ho1 0.375 0.875 0.500
Ho2 0.500 0.500 0.000
Ho3 0.625 0.125 0.500
Er1 0.251 0.251 0.000
Er2 0.749 0.749 0.000
```

5.
# PmPI

Crystalline PmPI at its relaxed geometry (PBE, Alexandria).

Computed properties:
Its offset from the most stable computed form is 426 meV/atom. The space-group type is I4mm, No. 107. The value obtained for the total energy is -4.718 eV per atom. As for the uncorrected formation energy: -0.81 eV/atom. The crystal system is tetragonal.

The structure in CIF format:
```
data_PmPI
_chemical_formula_sum 'Pm1 P1 I1'
_cell_length_a 6.265
_cell_length_b 6.265
_cell_length_c 6.265
_cell_angle_alpha 143.49
_cell_angle_beta 143.49
_cell_angle_gamma 52.60
_symmetry_space_group_name_H-M 'P 1'
_symmetry_Int_Tables_number 1
loop_
_symmetry_equiv_pos_as_xyz
'x,y,z'
loop_
_atom_site_label
_atom_site_fract_x
_atom_site_fract_y
_atom_site_fract_z
Pm1 0.000 0.000 0.000
P1 0.573 0.573 0.000
I1 0.305 0.305 0.000
```

6.
# TmSnHg2

Crystalline TmSnHg2 at its relaxed geometry (PBE, Alexandria).

Computed properties:
The value obtained for the energy of formation is -94 kJ/mol of formula units. The space-group type is P4/mmm, No. 123. The value obtained for the total energy is -2.514 eV per atom. The crystal system is tetragonal.

The structure in CIF format:
```
data_TmSnHg2
_chemical_formula_sum 'Tm1 Sn1 Hg2'
_cell_length_a 3.684
_cell_length_b 3.684
_cell_length_c 7.395
_cell_angle_alpha 90.00
_cell_angle_beta 90.00
_cell_angle_gamma 90.00
_symmetry_space_group_name_H-M 'P 1'
_symmetry_Int_Tables_number 1
loop_
_symmetry_equiv_pos_as_xyz
'x,y,z'
loop_
_atom_site_label
_atom_site_fract_x
_atom_site_fract_y
_atom_site_fract_z
Tm1 0.000 0.000 0.000
Sn1 0.000 0.000 0.500
Hg1 0.500 0.500 0.242
Hg2 0.500 0.500 0.758
```

7.
# Pu2AsBr

Crystalline Pu2AsBr at its relaxed geometry (PBE, Alexandria).

Computed properties:
The space-group type is P4/mmm, No. 123. The value obtained for the total energy is -9.676 eV per atom. As for the uncorrected formation energy: -0.93 eV/atom. The crystal system is tetragonal.

The structure in CIF format:
```
data_Pu2AsBr
_chemical_formula_sum 'Pu2 As1 Br1'
_cell_length_a 3.606
_cell_length_b 3.606
_cell_length_c 7.449
_cell_angle_alpha 90.00
_cell_angle_beta 90.00
_cell_angle_gamma 90.00
_symmetry_space_group_name_H-M 'P 1'
_symmetry_Int_Tables_number 1
loop_
_symmetry_equiv_pos_as_xyz
'x,y,z'
loop_
_atom_site_label
_atom_site_fract_x
_atom_site_fract_y
_atom_site_fract_z
Pu1 0.000 0.000 0.217
Pu2 0.000 0.000 0.783
As1 0.500 0.500 0.000
Br1 0.500 0.500 0.500
```

8.
# Pa3Ga4Ag2

Crystalline Pa3Ga4Ag2 at its relaxed geometry (PBE, Alexandria).

Computed properties:
The value obtained for the energy of formation is -167 kJ/mol of formula units. The space-group type is C2/m, No. 12. The value obtained for the total energy is -5.337 eV per atom. The crystal system is monoclinic.

The structure in CIF format:
```
data_Pa3Ga4Ag2
_chemical_formula_sum 'Pa3 Ga4 Ag2'
_cell_length_a 5.695
_cell_length_b 5.695
_cell_length_c 8.789
_cell_angle_alpha 118.66
_cell_angle_beta 118.66
_cell_angle_gamma 49.34
_symmetry_space_group_name_H-M 'P 1'
_symmetry_Int_Tables_number 1
loop_
_symmetry_equiv_pos_as_xyz
'x,y,z'
loop_
_atom_site_label
_atom_site_fract_x
_atom_site_fract_y
_atom_site_fract_z
Pa1 0.000 0.000 0.000
Pa2 0.335 0.335 0.329
Pa3 0.665 0.665 0.671
Ga1 0.057 0.057 0.391
Ga2 0.278 0.278 0.945
Ga3 0.722 0.722 0.055
Ga4 0.943 0.943 0.609
Ag1 0.385 0.385 0.717
Ag2 0.615 0.615 0.283
```

9.
# CoSbTe2C

Crystalline CoSbTe2C at its relaxed geometry (PBE, Alexandria).

Computed properties:
Its offset from the most stable computed form is 289 meV/atom. The space-group type is P4/mmm, No. 123. The value obtained for the total energy is -3.753 eV per atom. As for the uncorrected formation energy: 1.59 eV/atom. The crystal system is tetragonal.

The structure in CIF format:
```
data_CoSbTe2C
_chemical_formula_sum 'Co1 Sb1 Te2 C1'
_cell_length_a 5.053
_cell_length_b 5.053
_cell_length_c 4.776
_cell_angle_alpha 90.00
_cell_angle_beta 90.00
_cell_angle_gamma 90.00
_symmetry_space_group_name_H-M 'P 1'
_symmetry_Int_Tables_number 1
loop_
_symmetry_equiv_pos_as_xyz
'x,y,z'
loop_
_atom_site_label
_atom_site_fract_x
_atom_site_fract_y
_atom_site_fract_z
Co1 0.000 0.000 0.000
Sb1 0.000 0.000 0.500
Te1 0.000 0.500 0.000
Te2 0.500 0.000 0.000
C1 0.500 0.500 0.500
```

10.
# TbDy2Ho6Er

Crystalline TbDy2Ho6Er at its relaxed geometry (PBE, Alexandria).

Computed properties:
The value obtained for the energy of formation is 116 kJ/mol of formula units. The space-group type is C2/c, No. 15. The value obtained for the total energy is -4.466 eV per atom. The crystal system is monoclinic.

The structure in CIF format:
```
data_TbDy2Ho6Er
_chemical_formula_sum 'Tb2 Dy4 Ho12 Er2'
_cell_length_a 8.696
_cell_length_b 8.696
_cell_length_c 9.488
_cell_angle_alpha 94.02
_cell_angle_beta 94.02
_cell_angle_gamma 117.99
_symmetry_space_group_name_H-M 'P 1'
_symmetry_Int_Tables_number 1
loop_
_symmetry_equiv_pos_as_xyz
'x,y,z'
loop_
_atom_site_label
_atom_site_fract_x
_atom_site_fract_y
_atom_site_fract_z
Tb1 0.023 0.977 0.750
Tb2 0.977 0.023 0.250
Dy1 0.197 0.302 0.544
Dy2 0.302 0.197 0.044
Dy3 0.698 0.803 0.956
Dy4 0.803 0.698 0.456
Ho1 0.019 0.570 0.685
Ho2 0.125 0.750 0.056
Ho3 0.250 0.875 0.444
Ho4 0.291 0.504 0.880
Ho5 0.430 0.981 0.815
Ho6 0.496 0.709 0.620
Ho7 0.504 0.291 0.380
Ho8 0.570 0.019 0.185
Ho9 0.709 0.496 0.120
Ho10 0.750 0.125 0.556
Ho11 0.875 0.250 0.944
Ho12 0.981 0.430 0.315
Er1 0.409 0.591 0.250
Er2 0.591 0.409 0.750
```